PBE SrBeAsAu2, optimized geometry; E = -3.6850 eV per atom; calculated volume = 21.00 Å³ per atom; ΔE_f = -0.36 eV/atom; D(E_F) = 0.6280 states/eV per atom
1.0
4.6561 0.0000 0.0000
0.0000 4.6561 0.0000
0.0000 0.0000 4.8425
Sr Be As Au
1 1 1 2
direct
0.0000 0.0000 0.0000
0.5000 0.5000 0.5000
0.5000 0.5000 0.0000
0.0000 0.5000 0.5000
0.5000 0.0000 0.5000

---

PBE BeTl2As2Au, optimized geometry; E = -3.5001 eV per atom; calculated volume = 23.28 Å³ per atom; ΔE_f = 0.01 eV/atom; D(E_F) = 0.4118 states/eV per atom
1.0
-2.8080 8.7233 2.8515
2.8080 -8.7233 2.8515
2.8080 8.7233 -2.8515
Be Tl As Au
2 4 4 2
direct
0.2500 0.2500 0.0000
0.7500 0.7500 0.0000
0.1750 0.7043 0.8793
0.3250 0.2043 0.5293
0.6750 0.7957 0.4707
0.8250 0.2957 0.1207
0.0890 0.1908 0.2798
0.4110 0.6908 0.1019
0.5890 0.3092 0.8981
0.9110 0.8092 0.7202
0.2500 0.7500 0.5000
0.7500 0.2500 0.5000